Record 1
Material: LaY2Zn
Method: DFT, SCAN
State: single point on PBEsol structure

Values from the calculation:
space-group type: Imm2
crystal system: orthorhombic
energy: -2.0762 Ry per atom
calculated formation energy: -0.171 eV per atom
D(E_F): 3.41 states/eV/f.u.
distance to the lowest polymorph of the same formula: 0.037 eV/atom

Lattice parameters (Å, degrees): 3.6550 5.2180 6.5663 113.41 106.16 90.00
Closest atoms and distances in Å follow each position.
Fractional coordinates of all 4 atoms:
Y 0.2078 0.2078 0.4156  2 Zn 2.92
Y 0.9962 0.4962 0.9925  4 Zn 3.19, 2 La 3.55, 2 Y 3.57
Zn 0.5095 0.0095 0.0191  6 Y 2.92-3.19, 2 La 3.15
La 0.7864 0.7864 0.5729  2 Zn 3.15, 4 Y 3.31


Record 2
Material: LaYZn3
Method: DFT, SCAN
State: single point on PBEsol structure

Values from the calculation:
space-group type: Pm-3m
crystal system: cubic
energy: -1.6143 Ry per atom
calculated formation energy: 0.336 eV per atom
D(E_F): 5.00 states/eV/f.u.

Lattice parameters (Å, degrees): 5.1381 5.1381 5.1381 90.00 90.00 90.00
Closest atoms and distances in Å follow each position.
Fractional coordinates of all 5 atoms:
Zn 0.0000 0.5000 0.0000  2 Y 2.57
La 0.5000 0.5000 0.5000  12 Zn 3.63
Zn 0.5000 0.0000 0.0000  2 Y 2.57
Y 0.0000 0.0000 0.0000  6 Zn 2.57
Zn 0.0000 0.0000 0.5000  2 Y 2.57


Record 3
Material: LaYZr
Method: DFT, SCAN
State: single point on PBEsol structure

Values from the calculation:
space-group type: P-6m2
crystal system: hexagonal
energy: -2.4745 Ry per atom
calculated formation energy: 0.215 eV per atom
D(E_F): 4.37 states/eV/f.u.

Lattice parameters (Å, degrees): 3.3428 5.4162 5.4162 120.00 90.00 90.00
Closest atoms and distances in Å follow each position.
Fractional coordinates of all 3 atoms:
La 0.0000 0.0000 0.0000  2 La 3.34, 6 Y 3.55, 6 Zr 3.55
Zr 0.5000 0.6667 0.3333  3 Y 3.13, 2 Zr 3.34
Y 0.5000 0.3333 0.6667  3 Zr 3.13, 2 Y 3.34


Record 4
Material: LaYZr4
Method: DFT, SCAN
State: single point on PBEsol structure

Values from the calculation:
space-group type: F-43m
crystal system: cubic
energy: -2.3545 Ry per atom
calculated formation energy: 0.255 eV per atom
D(E_F): 6.37 states/eV/f.u.

Lattice parameters (Å, degrees): 6.0092 6.0092 6.0092 60.00 60.00 60.00
Closest atoms and distances in Å follow each position.
Fractional coordinates of all 6 atoms:
Zr 0.3742 0.8775 0.3742  6 Zr 2.98-3.02
Zr 0.8775 0.3742 0.3742  6 Zr 2.98-3.02
Zr 0.3742 0.3742 0.3742  6 Zr 2.98-3.02
La 0.7500 0.7500 0.7500  12 Zr 3.53, 4 Y 3.68
Y 0.0000 0.0000 0.0000  12 Zr 3.52, 4 La 3.68
Zr 0.3742 0.3742 0.8775  6 Zr 2.98-3.02


Record 5
Material: La2Zn
Method: DFT, SCAN
State: single point on PBEsol structure

Values from the calculation:
space-group type: I4/mcm
crystal system: tetragonal
energy: -2.4589 Ry per atom
calculated formation energy: -0.213 eV per atom
D(E_F): 2.83 states/eV/f.u.

Lattice parameters (Å, degrees): 5.0144 6.2006 6.2006 80.59 66.15 66.15
Closest atoms and distances in Å follow each position.
Fractional coordinates of all 6 atoms:
La 0.6542 0.5000 0.1916  4 Zn 3.29, 7 La 3.32-3.52
Zn 0.7500 0.0000 0.0000  2 Zn 2.51
La 0.8458 0.8084 0.5000  4 Zn 3.29, 7 La 3.32-3.52
La 0.3458 0.5000 0.8084  4 Zn 3.29, 7 La 3.32-3.52
La 0.1542 0.1916 0.5000  4 Zn 3.29, 7 La 3.32-3.52
Zn 0.2500 0.0000 0.0000  2 Zn 2.51


Record 6
Material: La3Zn
Method: DFT, SCAN
State: single point on PBEsol structure

Values from the calculation:
space-group type: Pnma
crystal system: orthorhombic
energy: -2.6355 Ry per atom
calculated formation energy: -0.150 eV per atom
D(E_F): 4.04 states/eV/f.u.

Lattice parameters (Å, degrees): 6.5763 6.4507 10.8906 90.00 90.00 90.00
Closest atoms and distances in Å follow each position.
Fractional coordinates of all 16 atoms:
Zn 0.3645 0.9046 0.2500  7 La 3.07-3.41
Zn 0.1355 0.4046 0.2500  7 La 3.07-3.41
La 0.0935 0.7253 0.0434  2 Zn 3.07-3.09, 4 La 3.29-3.44
La 0.1440 0.9886 0.7500  3 Zn 3.13-3.41, 2 La 3.30
La 0.3560 0.4886 0.7500  3 Zn 3.13-3.41, 2 La 3.30
La 0.4065 0.2253 0.0434  2 Zn 3.07-3.09, 4 La 3.29-3.44
La 0.4065 0.2253 0.4566  2 Zn 3.07-3.09, 4 La 3.29-3.44
La 0.5935 0.7747 0.9566  2 Zn 3.07-3.09, 4 La 3.29-3.44
La 0.0935 0.7253 0.4566  2 Zn 3.07-3.09, 4 La 3.29-3.44
La 0.5935 0.7747 0.5434  2 Zn 3.07-3.09, 4 La 3.29-3.44
La 0.9065 0.2747 0.9566  2 Zn 3.07-3.09, 4 La 3.29-3.44
La 0.8560 0.0114 0.2500  3 Zn 3.13-3.41, 2 La 3.30
La 0.6440 0.5114 0.2500  3 Zn 3.13-3.41, 2 La 3.30
Zn 0.8645 0.5954 0.7500  7 La 3.07-3.41
La 0.9065 0.2747 0.5434  2 Zn 3.07-3.09, 4 La 3.29-3.44
Zn 0.6355 0.0954 0.7500  7 La 3.07-3.41